#a
VASP calculation (GGA-PBE) on a relaxed structure of MoAu3I.

The structure in CIF format:
```
data_MoAu3I
_chemical_formula_sum 'Mo1 Au3 I1'
_cell_length_a 5.119
_cell_length_b 5.119
_cell_length_c 5.119
_cell_angle_alpha 90.00
_cell_angle_beta 90.00
_cell_angle_gamma 90.00
_space_group_name_H-M_alt 'P 1'
_space_group_IT_number 1
loop_
_space_group_symop_operation_xyz
'x,y,z'
loop_
_atom_site_label
_atom_site_type_symbol
_atom_site_fract_x
_atom_site_fract_y
_atom_site_fract_z
Mo1 Mo 0.000 0.000 0.000
Au1 Au 0.000 0.000 0.500
Au2 Au 0.000 0.500 0.000
Au3 Au 0.500 0.000 0.000
I1 I 0.500 0.500 0.500
```

Results
The value obtained for the theoretical density is 10.074 g/cm³.

---

#b
VASP calculation (GGA-PBE) on a relaxed structure of MoAu3I.

The structure in CIF format:
```
data_MoAu3I
_chemical_formula_sum 'Mo1 Au3 I1'
_cell_length_a 5.341
_cell_length_b 5.341
_cell_length_c 5.341
_cell_angle_alpha 90.00
_cell_angle_beta 90.00
_cell_angle_gamma 90.00
_space_group_name_H-M_alt 'P 1'
_space_group_IT_number 1
loop_
_space_group_symop_operation_xyz
'x,y,z'
loop_
_atom_site_label
_atom_site_type_symbol
_atom_site_fract_x
_atom_site_fract_y
_atom_site_fract_z
Mo1 Mo 0.000 0.000 0.000
Au1 Au 0.000 0.500 0.500
Au2 Au 0.500 0.000 0.500
Au3 Au 0.500 0.500 0.000
I1 I 0.500 0.500 0.500
```

Results
The value obtained for the theoretical density is 8.867 g/cm³.

---

Which structure is the least stable? The one labeled #b.